Record 1
A plane-wave DFT calculation with PBE was carried out for crystalline YSn2O at its relaxed geometry.

Cell lengths 7.033, 7.033, 7.650 Å; angles 90.00, 90.00, 90.00 degrees
Space group I-42d (No. 122)
Asymmetric unit:
Y: 0.000 0.000 0.000 [4 per cell]
Sn: 0.152 0.250 0.625 [8 per cell]
O: 0.000 0.000 0.500 [4 per cell]

DFT total energy, eV per formula unit: -21.5
Total moment, μB per cell: 0.0

---

Record 2
A plane-wave DFT calculation with PBE was carried out for crystalline RbS3Br2 at its relaxed geometry.

Cell lengths 4.277, 9.795, 9.980 Å; angles 79.74, 82.19, 87.73 degrees
Space group P-1 (No. 2)
Asymmetric unit:
Rb: 0.009 0.273 0.017 [2 per cell]
S: 0.181 0.544 0.447 [2 per cell]
S: 0.296 0.104 0.595 [2 per cell]
S: 0.351 0.842 0.539 [2 per cell]
Br: 0.432 0.484 0.186 [2 per cell]
Br: 0.455 0.030 0.851 [2 per cell]

DFT total energy, eV per formula unit: -19.4
Total moment, μB per cell: 0.0

---

Record 3
A plane-wave DFT calculation with PBE was carried out for crystalline Be2PbS at its relaxed geometry.

Cell lengths 5.634, 5.634, 9.460 Å; angles 90.00, 90.00, 90.00 degrees
Space group I-42d (No. 122)
Asymmetric unit:
Be: 0.177 0.250 0.125 [8 per cell]
Pb: 0.000 0.000 0.500 [4 per cell]
S: 0.000 0.000 0.000 [4 per cell]

DFT total energy, eV per formula unit: -15.3
Total moment, μB per cell: 0.0
Energy above the lowest structure with this stoichiometry, meV/atom: 0

---

Record 4
A plane-wave DFT calculation with PBE was carried out for crystalline TbAs2Rh5Au at its relaxed geometry.

Cell lengths 4.209, 4.209, 8.711 Å; angles 90.00, 90.00, 90.00 degrees
Space group P4/mmm (No. 123)
Asymmetric unit:
Tb: 0.000 0.000 0.000 [1 per cell]
As: 0.500 0.500 0.359 [2 per cell]
Rh: 0.000 0.500 0.234 [4 per cell]
Rh: 0.500 0.500 0.000 [1 per cell]
Au: 0.000 0.000 0.500 [1 per cell]

DFT total energy, eV per formula unit: -57.1
Total moment, μB per cell: 0.0
Formation enthalpy at 0 K, eV/atom: -0.351

---

Record 5
A plane-wave DFT calculation with PBE was carried out for crystalline La5Ho2Cd at its relaxed geometry.

Cell lengths 7.335, 11.471, 12.649 Å; angles 90.00, 90.00, 90.00 degrees
Space group Fmm2 (No. 42)
Asymmetric unit:
La: 0.000 0.000 0.000 [4 per cell]
La: 0.230 0.000 0.763 [8 per cell]
La: 0.250 0.250 0.096 [8 per cell]
Ho: 0.000 0.237 0.351 [8 per cell]
Cd: 0.000 0.000 0.507 [4 per cell]

DFT total energy, eV per formula unit: -35.2
Total moment, μB per cell: 0.0
Formation enthalpy at 0 K, eV/atom: -0.056

---

Record 6
A plane-wave DFT calculation with PBE was carried out for crystalline Fe2Ni2Pd5 at its relaxed geometry.

Cell lengths 15.742, 4.317, 7.458 Å; angles 90.00, 90.00, 90.00 degrees
Space group Ima2 (No. 46)
Asymmetric unit:
Fe: 0.079 0.001 0.000 [8 per cell]
Ni: 0.000 0.000 0.667 [4 per cell]
Ni: 0.250 0.001 0.334 [4 per cell]
Pd: 0.085 0.501 0.834 [8 per cell]
Pd: 0.164 0.001 0.667 [8 per cell]
Pd: 0.250 0.501 0.501 [4 per cell]

DFT total energy, eV per formula unit: -54.2
Total moment, μB per cell: 36.8
Formation enthalpy at 0 K, eV/atom: 0.031
Energy above the lowest structure with this stoichiometry, meV/atom: 19

---

Record 7
A plane-wave DFT calculation with PBE was carried out for crystalline KY2Mn at its relaxed geometry.

Cell lengths 7.055, 3.776, 10.555 Å; angles 90.00, 99.04, 90.00 degrees
Space group C2/m (No. 12)
Asymmetric unit:
K: 0.000 0.000 0.000 [2 per cell]
Y: 0.217 0.000 0.651 [4 per cell]
Mn: 0.000 0.500 0.500 [2 per cell]

DFT total energy, eV per formula unit: -21.4
Total moment, μB per cell: 2.9
Formation enthalpy at 0 K, eV/atom: 0.438
Energy above the lowest structure with this stoichiometry, meV/atom: 182

---

Record 8
A plane-wave DFT calculation with PBE was carried out for crystalline PmW2N5 at its relaxed geometry.

Cell lengths 5.769, 5.769, 10.822 Å; angles 90.00, 90.00, 90.00 degrees
Space group I4/mcm (No. 140)
Asymmetric unit:
Pm: 0.000 0.000 0.250 [4 per cell]
W: 0.162 0.338 0.000 [8 per cell]
N: 0.000 0.000 0.000 [4 per cell]
N: 0.146 0.354 0.379 [16 per cell]

DFT total energy, eV per formula unit: -75.0
Total moment, μB per cell: 0.0

---

Record 9
A plane-wave DFT calculation with PBE was carried out for crystalline Ba2LaGaO at its relaxed geometry.

Cell lengths 5.541, 5.541, 4.924 Å; angles 90.00, 90.00, 90.00 degrees
Space group P4/mmm (No. 123)
Asymmetric unit:
Ba: 0.000 0.500 0.000 [2 per cell]
La: 0.000 0.000 0.500 [1 per cell]
Ga: 0.500 0.500 0.500 [1 per cell]
O: 0.000 0.000 0.000 [1 per cell]

DFT total energy, eV per formula unit: -22.5
Total moment, μB per cell: 0.0
Energy above the lowest structure with this stoichiometry, meV/atom: 0

---

Record 10
A plane-wave DFT calculation with PBE was carried out for crystalline Sc2Hg2I at its relaxed geometry.

Cell lengths 8.368, 8.368, 3.600 Å; angles 90.00, 90.00, 90.00 degrees
Space group P4/mbm (No. 127)
Asymmetric unit:
Sc: 0.170 0.330 0.000 [4 per cell]
Hg: 0.127 0.627 0.500 [4 per cell]
I: 0.000 0.000 0.500 [2 per cell]

DFT total energy, eV per formula unit: -15.7
Total moment, μB per cell: 0.0
Energy above the lowest structure with this stoichiometry, meV/atom: 187

---

Record 11
A plane-wave DFT calculation with PBE was carried out for crystalline SrCd2Ru at its relaxed geometry.

Cell lengths 4.799, 4.799, 19.448 Å; angles 90.00, 90.00, 90.00 degrees
Space group I-42d (No. 122)
Asymmetric unit:
Sr: 0.000 0.000 0.000 [4 per cell]
Cd: 0.134 0.250 0.625 [8 per cell]
Ru: 0.000 0.000 0.500 [4 per cell]

DFT total energy, eV per formula unit: -11.1
Total moment, μB per cell: 2.2
Formation enthalpy at 0 K, eV/atom: 0.419

---

Record 12
A plane-wave DFT calculation with PBE was carried out for crystalline Al2NiAu at its relaxed geometry.

Cell lengths 8.853, 3.219, 4.282 Å; angles 90.00, 106.98, 90.00 degrees
Space group Cm (No. 8)
Asymmetric unit:
Al: 0.000 0.000 0.000 [2 per cell]
Al: 0.236 0.000 0.663 [2 per cell]
Ni: 0.006 0.500 0.537 [2 per cell]
Au: 0.248 0.500 0.182 [2 per cell]

DFT total energy, eV per formula unit: -18.2
Total moment, μB per cell: 0.0
Formation enthalpy at 0 K, eV/atom: -0.413